[1]
Crystalline TiBiI at its relaxed geometry. Source: Alexandria via LeMat-Bulk, functional PBE.

The volume is 391.82 Å³ per cell. As for the total energy: -13.99 eV/f.u. The total moment comes out at 0.00 μB per cell.

abc: 15.0039 3.6547 7.1454
angles: 90.00 90.00 90.00
Space group Pnma (No. 62)
Asymmetric unit:
Ti 0.0323 0.2500 0.1493
Bi 0.0824 0.7500 0.4607
I 0.1450 0.7500 0.9720

***

[2]
Crystalline Ca2CdH6Ru at its relaxed geometry. Source: Alexandria via LeMat-Bulk, functional PBE.

The volume is 156.08 Å³ per cell. As for the total energy: -37.99 eV/f.u. The total moment comes out at 0.00 μB per cell.

abc: 4.8789 4.8789 7.5715
angles: 90.00 90.00 120.00
Space group P-3m1 (No. 164)
Asymmetric unit:
Ca 0.3333 0.6667 0.1371
Cd 0.0000 0.0000 0.5000
H 0.1657 0.3315 0.8690
Ru 0.0000 0.0000 0.0000

***

[3]
Crystalline TcSn3Pb at its relaxed geometry. Source: Alexandria via LeMat-Bulk, functional PBE.

The volume is 142.78 Å³ per cell. As for the total energy: -24.67 eV/f.u. The total moment comes out at 0.62 μB per cell. As for the formation energy: 0.2831 eV per atom.

abc: 5.2267 5.2267 5.2267
angles: 90.00 90.00 90.00
Space group Pm-3m (No. 221)
Asymmetric unit:
Tc 0.0000 0.0000 0.0000
Sn 0.0000 0.0000 0.5000
Pb 0.5000 0.5000 0.5000

***

[4]
Crystalline Zr3Cd6Ag at its relaxed geometry. Source: Alexandria via LeMat-Bulk, functional PBE.

The volume is 427.24 Å³ per cell. As for the total energy: -34.40 eV/f.u. The total moment comes out at 0.00 μB per cell. As for the formation energy: -0.0418 eV per atom.

abc: 8.5757 4.8925 11.0184
angles: 90.00 112.46 90.00
Space group P2_1/m (No. 11)
Asymmetric unit:
Zr 0.0875 0.2500 0.2246
Zr 0.2891 0.2500 0.0293
Zr 0.3315 0.7500 0.3685
Cd 0.0751 0.2500 0.7197
Cd 0.1087 0.7500 0.0720
Cd 0.2748 0.2500 0.5219
Cd 0.2974 0.7500 0.8621
Cd 0.4803 0.2500 0.8338
Cd 0.4902 0.7500 0.6741
Ag 0.1004 0.7500 0.5648

***

[5]
Crystalline Cs2RbMgAg at its relaxed geometry. Source: Alexandria via LeMat-Bulk, functional PBE.

The volume is 301.91 Å³ per cell. As for the total energy: -6.52 eV/f.u. The total moment comes out at 0.00 μB per cell. As for the formation energy: 0.1204 eV per atom.

abc: 7.2965 7.2965 5.6708
angles: 90.00 90.00 90.00
Space group P4/mmm (No. 123)
Asymmetric unit:
Cs 0.0000 0.5000 0.0000
Rb 0.0000 0.0000 0.5000
Mg 0.5000 0.5000 0.5000
Ag 0.5000 0.5000 0.0000

***

[6]
Crystalline CsNpUO6 at its relaxed geometry. Source: Alexandria via LeMat-Bulk, functional PBE.

The volume is 705.63 Å³ per cell. As for the total energy: -80.94 eV/f.u. The total moment comes out at 8.03 μB per cell.

abc: 7.8979 7.9612 11.2225
angles: 90.00 90.00 90.00
Space group Imma (No. 74)
Asymmetric unit:
Cs 0.0000 0.2500 0.1231
Np 0.2500 0.2500 0.7500
U 0.0000 0.0000 0.5000
O 0.0000 0.2500 0.4344
O 0.0000 0.2500 0.8140
O 0.1898 0.0596 0.6238

***

[7]
Crystalline CrGePCl2 at its relaxed geometry. Source: Alexandria via LeMat-Bulk, functional PBE.

The volume is 106.22 Å³ per cell. As for the total energy: -23.17 eV/f.u. The total moment comes out at 3.04 μB per cell.

abc: 4.6128 4.6128 4.9920
angles: 90.00 90.00 90.00
Space group P4/mmm (No. 123)
Asymmetric unit:
Cr 0.0000 0.0000 0.0000
Ge 0.5000 0.5000 0.5000
P 0.0000 0.0000 0.5000
Cl 0.0000 0.5000 0.0000

***

[8]
Crystalline LiAcScPb at its relaxed geometry. Source: Alexandria via LeMat-Bulk, functional PBE.

The volume is 457.85 Å³ per cell. As for the total energy: -16.74 eV/f.u. The total moment comes out at 0.01 μB per cell. As for the formation energy: -0.1698 eV per atom.

abc: 7.7074 7.7074 7.7074
angles: 90.00 90.00 90.00
Space group F-43m (No. 216)
Asymmetric unit:
Li 0.0000 0.0000 0.0000
Ac 0.2500 0.2500 0.2500
Sc 0.2500 0.2500 0.7500
Pb 0.0000 0.0000 0.5000

***

[9]
Crystalline BaCu2Sn4 at its relaxed geometry. Source: Alexandria via LeMat-Bulk, functional PBE.

The volume is 718.06 Å³ per cell. As for the total energy: -27.49 eV/f.u. The total moment comes out at 0.00 μB per cell. As for the formation energy: -0.1954 eV per atom.

abc: 20.9649 4.5229 7.5727
angles: 90.00 90.00 90.00
Space group Pnma (No. 62)
Asymmetric unit:
Ba 0.1203 0.2500 0.0102
Cu 0.0493 0.7500 0.3511
Cu 0.2215 0.2500 0.5273
Sn 0.0233 0.7500 0.7458
Sn 0.0889 0.2500 0.5251
Sn 0.1915 0.7500 0.3193
Sn 0.2032 0.7500 0.7274

***

[10]
Crystalline MgAg2Pt2 at its relaxed geometry. Source: Alexandria via LeMat-Bulk, functional PBE.

The volume is 180.84 Å³ per cell. As for the total energy: -19.49 eV/f.u. The total moment comes out at 0.00 μB per cell. As for the formation energy: -0.0226 eV per atom.

abc: 7.6831 7.6831 3.0636
angles: 90.00 90.00 90.00
Space group P4/mbm (No. 127)
Asymmetric unit:
Mg 0.0000 0.0000 0.0000
Ag 0.1284 0.3716 0.0000
Pt 0.1705 0.6705 0.5000

***

[11]
Crystalline YSi4Ir4 at its relaxed geometry. Source: Alexandria via LeMat-Bulk, functional PBE.

The volume is 315.86 Å³ per cell. As for the total energy: -69.17 eV/f.u. The total moment comes out at 0.00 μB per cell.

abc: 8.4825 8.4825 4.3898
angles: 90.00 90.00 90.00
Space group I4/m (No. 87)
Asymmetric unit:
Y 0.0000 0.0000 0.0000
Si 0.1819 0.3034 0.5000
Ir 0.0851 0.3518 0.0000

***

[12]
Crystalline Gd2AlRu at its relaxed geometry. Source: Alexandria via LeMat-Bulk, functional PBE.

The volume is 88.81 Å³ per cell. As for the total energy: -42.63 eV/f.u. The total moment comes out at 14.24 μB per cell. As for the formation energy: -0.3629 eV per atom.

abc: 3.5194 3.5194 7.1697
angles: 90.00 90.00 90.00
Space group P4/mmm (No. 123)
Asymmetric unit:
Gd 0.0000 0.0000 0.2313
Al 0.5000 0.5000 0.5000
Ru 0.5000 0.5000 0.0000